1.
# ZrBe2Pb PBE relaxed
# - Symmetry: P4/mmm (123)
# - Formation energy from the elements: 0.143 eV per atom
# - DOS(E_F): 1.3 states/eV per cell
data_ZrBe2Pb
_cell_length_a 4.146
_cell_length_b 4.146
_cell_length_c 3.828
_cell_angle_alpha 90.00
_cell_angle_beta 90.00
_cell_angle_gamma 90.00
_space_group_name_H-M_alt 'P 1'
_space_group_IT_number 1
_space_group_name_Hall 'P 1'
loop_
_atom_site_label
_atom_site_type_symbol
_atom_site_fract_x
_atom_site_fract_y
_atom_site_fract_z
Pb1 Pb 0.500 0.000 0.500
Be1 Be 0.000 0.000 0.000
Be2 Be 0.500 0.500 0.000
Zr1 Zr 0.000 0.500 0.500



2.
# LaOsSe2 PBE relaxed
# - Symmetry: P4/mmm (123)
# - DOS(E_F): 3.8 states/eV per cell
# - ΔE to the lowest computed polymorph: 326 meV/atom
data_LaOsSe2
_cell_length_a 4.768
_cell_length_b 4.768
_cell_length_c 3.562
_cell_angle_alpha 89.99
_cell_angle_beta 89.99
_cell_angle_gamma 90.00
_space_group_name_H-M_alt 'P 1'
_space_group_IT_number 1
_space_group_name_Hall 'P 1'
loop_
_atom_site_label
_atom_site_type_symbol
_atom_site_fract_x
_atom_site_fract_y
_atom_site_fract_z
La1 La 0.500 0.000 0.500
Os1 Os 0.000 0.500 0.500
Se1 Se 0.000 0.000 0.000
Se2 Se 0.500 0.500 0.000



3.
# Pm4CoHg PBE relaxed
# - Symmetry: F-43m (216)
# - Formation energy from the elements: -0.247 eV per atom
# - DOS(E_F): 18.8 states/eV per cell
# - ΔE to the lowest computed polymorph: 0 meV/atom
data_Pm4CoHg
_cell_length_a 9.712
_cell_length_b 9.712
_cell_length_c 9.712
_cell_angle_alpha 60.00
_cell_angle_beta 60.00
_cell_angle_gamma 60.00
_space_group_name_H-M_alt 'P 1'
_space_group_IT_number 1
_space_group_name_Hall 'P 1'
loop_
_atom_site_label
_atom_site_type_symbol
_atom_site_fract_x
_atom_site_fract_y
_atom_site_fract_z
Pm1 Pm 0.402 0.402 0.402
Pm2 Pm 0.793 0.402 0.402
Pm3 Pm 0.402 0.793 0.402
Pm4 Pm 0.402 0.402 0.793
Pm5 Pm 0.560 0.560 0.940
Pm6 Pm 0.940 0.940 0.560
Pm7 Pm 0.560 0.940 0.560
Pm8 Pm 0.940 0.560 0.940
Pm9 Pm 0.940 0.560 0.560
Pm10 Pm 0.560 0.940 0.940
Pm11 Pm 0.189 0.189 0.811
Pm12 Pm 0.811 0.811 0.189
Pm13 Pm 0.189 0.811 0.189
Pm14 Pm 0.811 0.189 0.811
Pm15 Pm 0.811 0.189 0.189
Pm16 Pm 0.189 0.811 0.811
Co1 Co 0.609 0.609 0.609
Co2 Co 0.173 0.609 0.609
Co3 Co 0.609 0.173 0.609
Co4 Co 0.609 0.609 0.173
Hg1 Hg 0.167 0.167 0.167
Hg2 Hg 0.499 0.167 0.167
Hg3 Hg 0.167 0.499 0.167
Hg4 Hg 0.167 0.167 0.499